# Sc4HgB2Pb PBE-GGA optimized geometry
data_Sc4HgB2Pb
_chemical_formula_sum 'Sc4 Hg1 B2 Pb1'
_symmetry_space_group_name_H-M 'P -6 m 2'
_symmetry_Int_Tables_number 187
_symmetry_space_group_name_Hall 'P -6 2'
_cell_length_a 3.5663
_cell_length_b 3.5663
_cell_length_c 14.8340
_cell_angle_alpha 90.00
_cell_angle_beta 90.00
_cell_angle_gamma 120.00
loop_
_atom_site_label
_atom_site_fract_x
_atom_site_fract_y
_atom_site_fract_z
_atom_site_occupancy
Sc1 0.0000 0.0000 0.1606 1
Sc2 0.3333 0.6667 0.3257 1
Hg1 0.3333 0.6667 0.0000 1
B1 0.6667 0.3333 0.2390 1
Pb1 0.0000 0.0000 0.5000 1
# Uncorrected energy in eV/atom: -5.5750
# Spin magnetization in Bohr magnetons per cell: 0.14